The following is a PBE calculation of a geometry-optimized Ca8AgN2 structure, from Alexandria via LeMat-Bulk.

The structure in POSCAR format:
```
Ca8AgN2
1.0
7.3377 -1.2609 -0.8808
-0.3924 7.7471 0.8004
-0.3924 3.4176 6.9985
Ca Ag N
8 1 2
direct
0.3621 0.1670 0.1670
0.2205 0.6331 0.6331
0.7795 0.3669 0.3669
0.7638 0.8982 0.3432
0.2362 0.6568 0.1018
0.2362 0.1018 0.6568
0.7638 0.3432 0.8982
0.6379 0.8330 0.8330
0.0000 0.0000 0.0000
0.3328 0.7994 0.7994
0.6672 0.2006 0.2006
```

Symmetry: C2/m
Raw formation energy, meV/atom: -338